The following is a DFT calculation (GGA-PBE) of a geometry-optimized Ca4AcIr2 structure. Values from VASP.

Results
* DFT total energy: -0.338 Ry/atom
* ΔE_f: -0.33 eV per atom

The structure in Quantum ESPRESSO input format:
```
&SYSTEM
  ibrav = 0, nat = 14, ntyp = 3
/
ATOMIC_SPECIES
Ca 40.08 Ca.upf
Ir 192.22 Ir.upf
Ac 227.00 Ac.upf
CELL_PARAMETERS angstrom
-2.664 5.834 -0.325
1.710 0.322 -8.224
-7.194 -3.205 1.438
ATOMIC_POSITIONS angstrom
Ca -6.079 0.617 -2.561
Ca -2.675 0.441 -1.875
Ca -5.472 2.510 -5.237
Ca -7.410 3.531 -2.724
Ca -4.748 3.142 0.153
Ca -0.737 -0.580 -4.388
Ca -2.068 2.334 -4.551
Ca -3.400 -0.191 -7.265
Ir -7.244 -1.579 -0.689
Ir -0.903 4.531 -6.423
Ir -4.267 3.205 -2.644
Ir -3.880 -0.254 -4.467
Ac -6.292 -1.422 -5.662
Ac -1.855 4.373 -1.449
```